No. 1
# CrTePdN2, relaxed, DFT PBE
data_CrTePdN2
_symmetry_space_group_name_H-M 'P 1'
_symmetry_Int_Tables_number 1
_cell_length_a 3.731
_cell_length_b 3.731
_cell_length_c 5.773
_cell_angle_alpha 90.00
_cell_angle_beta 90.00
_cell_angle_gamma 90.00
loop_
_symmetry_equiv_pos_as_xyz
'x,y,z'
loop_
_atom_site_label
_atom_site_type_symbol
_atom_site_fract_x
_atom_site_fract_y
_atom_site_fract_z
_atom_site_occupancy
Cr1 Cr 0.000 0.000 0.000 1
Te1 Te 0.000 0.000 0.500 1
Pd1 Pd 0.500 0.500 0.500 1
N1 N 0.000 0.500 0.000 1
N2 N 0.500 0.000 0.000 1
# Magnetic moment   0.514 μB/cell
# Polymorph energy (0 for the lowest one)   0 meV per atom
# Total energy   -6.41 eV/atom
# ΔE_f (raw)   49.6 kJ per mole of atoms

---

No. 2
# Ti2CrPdN, relaxed, DFT PBE
data_Ti2CrPdN
_symmetry_space_group_name_H-M 'P 1'
_symmetry_Int_Tables_number 1
_cell_length_a 4.865
_cell_length_b 4.865
_cell_length_c 3.679
_cell_angle_alpha 90.00
_cell_angle_beta 90.00
_cell_angle_gamma 90.00
loop_
_symmetry_equiv_pos_as_xyz
'x,y,z'
loop_
_atom_site_label
_atom_site_type_symbol
_atom_site_fract_x
_atom_site_fract_y
_atom_site_fract_z
_atom_site_occupancy
Ti1 Ti 0.000 0.500 0.000 1
Ti2 Ti 0.500 0.000 0.000 1
Cr1 Cr 0.000 0.000 0.500 1
Pd1 Pd 0.500 0.500 0.000 1
N1 N 0.500 0.500 0.500 1
# Magnetic moment   0.795 μB/cell
# Polymorph energy (0 for the lowest one)   2151 meV per atom
# Total energy   -6.44 eV/atom
# ΔE_f (raw)   130.3 kJ per mole of atoms

---

No. 3
# Ti2CrPdN, relaxed, DFT PBE
data_Ti2CrPdN
_symmetry_space_group_name_H-M 'P 1'
_symmetry_Int_Tables_number 1
_cell_length_a 4.169
_cell_length_b 4.169
_cell_length_c 3.744
_cell_angle_alpha 90.00
_cell_angle_beta 90.00
_cell_angle_gamma 90.00
loop_
_symmetry_equiv_pos_as_xyz
'x,y,z'
loop_
_atom_site_label
_atom_site_type_symbol
_atom_site_fract_x
_atom_site_fract_y
_atom_site_fract_z
_atom_site_occupancy
Ti1 Ti 0.000 0.500 0.000 1
Ti2 Ti 0.500 0.000 0.000 1
Cr1 Cr 0.000 0.000 0.500 1
Pd1 Pd 0.500 0.500 0.500 1
N1 N 0.000 0.000 0.000 1
# Magnetic moment   0.470 μB/cell
# Polymorph energy (0 for the lowest one)   0 meV per atom
# Total energy   -8.59 eV/atom
# ΔE_f (raw)   -77.3 kJ per mole of atoms

---

No. 4
# Cr2PdWN, relaxed, DFT PBE
data_Cr2PdWN
_symmetry_space_group_name_H-M 'P 1'
_symmetry_Int_Tables_number 1
_cell_length_a 3.896
_cell_length_b 3.896
_cell_length_c 4.058
_cell_angle_alpha 90.00
_cell_angle_beta 90.00
_cell_angle_gamma 90.00
loop_
_symmetry_equiv_pos_as_xyz
'x,y,z'
loop_
_atom_site_label
_atom_site_type_symbol
_atom_site_fract_x
_atom_site_fract_y
_atom_site_fract_z
_atom_site_occupancy
Cr1 Cr 0.000 0.500 0.000 1
Cr2 Cr 0.500 0.000 0.000 1
Pd1 Pd 0.000 0.000 0.500 1
W1 W 0.500 0.500 0.500 1
N1 N 0.500 0.500 0.000 1
# Magnetic moment   1.446 μB/cell
# Total energy   -9.26 eV/atom
# ΔE_f (raw)   -11.6 kJ per mole of atoms

---

No. 5
# Y2CrPdN, relaxed, DFT PBE
data_Y2CrPdN
_symmetry_space_group_name_H-M 'P 1'
_symmetry_Int_Tables_number 1
_cell_length_a 4.911
_cell_length_b 4.911
_cell_length_c 3.784
_cell_angle_alpha 90.00
_cell_angle_beta 90.00
_cell_angle_gamma 90.00
loop_
_symmetry_equiv_pos_as_xyz
'x,y,z'
loop_
_atom_site_label
_atom_site_type_symbol
_atom_site_fract_x
_atom_site_fract_y
_atom_site_fract_z
_atom_site_occupancy
Y1 Y 0.000 0.500 0.000 1
Y2 Y 0.500 0.000 0.000 1
Cr1 Cr 0.000 0.000 0.500 1
Pd1 Pd 0.500 0.500 0.500 1
N1 N 0.000 0.000 0.000 1
# Magnetic moment   2.620 μB/cell
# Total energy   -8.05 eV/atom
# ΔE_f (raw)   -80.9 kJ per mole of atoms

---

No. 6
# Zn2CrPdN, relaxed, DFT PBE
data_Zn2CrPdN
_symmetry_space_group_name_H-M 'P 1'
_symmetry_Int_Tables_number 1
_cell_length_a 4.722
_cell_length_b 4.722
_cell_length_c 4.663
_cell_angle_alpha 90.00
_cell_angle_beta 90.00
_cell_angle_gamma 90.00
loop_
_symmetry_equiv_pos_as_xyz
'x,y,z'
loop_
_atom_site_label
_atom_site_type_symbol
_atom_site_fract_x
_atom_site_fract_y
_atom_site_fract_z
_atom_site_occupancy
Zn1 Zn 0.000 0.500 0.000 1
Zn2 Zn 0.500 0.000 0.000 1
Cr1 Cr 0.000 0.000 0.500 1
Pd1 Pd 0.000 0.000 0.000 1
N1 N 0.500 0.500 0.500 1
# Magnetic moment   2.135 μB/cell
# Total energy   -3.43 eV/atom
# ΔE_f (raw)   165.0 kJ per mole of atoms

---

No. 7
# Pm3Cr2N6, relaxed, DFT PBE
data_Pm3Cr2N6
_symmetry_space_group_name_H-M 'P 1'
_symmetry_Int_Tables_number 1
_cell_length_a 10.053
_cell_length_b 10.053
_cell_length_c 10.053
_cell_angle_alpha 158.19
_cell_angle_beta 158.19
_cell_angle_gamma 31.04
loop_
_symmetry_equiv_pos_as_xyz
'x,y,z'
loop_
_atom_site_label
_atom_site_type_symbol
_atom_site_fract_x
_atom_site_fract_y
_atom_site_fract_z
_atom_site_occupancy
Pm1 Pm 0.000 0.000 0.000 1
Pm2 Pm 0.178 0.178 0.000 1
Pm3 Pm 0.822 0.822 0.000 1
Cr1 Cr 0.397 0.397 0.000 1
Cr2 Cr 0.603 0.603 0.000 1
N1 N 0.086 0.586 0.500 1
N2 N 0.304 0.304 0.000 1
N3 N 0.414 0.914 0.500 1
N4 N 0.586 0.086 0.500 1
N5 N 0.696 0.696 0.000 1
N6 N 0.914 0.414 0.500 1
# Magnetic moment   0.263 μB/cell
# Total energy   -8.61 eV/atom
# ΔE_f (raw)   -98.7 kJ per mole of atoms

---

No. 8
# Pm3Cr5N12, relaxed, DFT PBE
data_Pm3Cr5N12
_symmetry_space_group_name_H-M 'P 1'
_symmetry_Int_Tables_number 1
_cell_length_a 10.777
_cell_length_b 10.777
_cell_length_c 10.777
_cell_angle_alpha 109.47
_cell_angle_beta 109.47
_cell_angle_gamma 109.47
loop_
_symmetry_equiv_pos_as_xyz
'x,y,z'
loop_
_atom_site_label
_atom_site_type_symbol
_atom_site_fract_x
_atom_site_fract_y
_atom_site_fract_z
_atom_site_occupancy
Pm1 Pm 0.125 0.250 0.375 1
Pm2 Pm 0.125 0.375 0.750 1
Pm3 Pm 0.250 0.375 0.125 1
Pm4 Pm 0.250 0.875 0.625 1
Pm5 Pm 0.375 0.125 0.250 1
Pm6 Pm 0.375 0.750 0.125 1
Pm7 Pm 0.625 0.250 0.875 1
Pm8 Pm 0.625 0.875 0.750 1
Pm9 Pm 0.750 0.125 0.375 1
Pm10 Pm 0.750 0.625 0.875 1
Pm11 Pm 0.875 0.625 0.250 1
Pm12 Pm 0.875 0.750 0.625 1
Cr1 Cr 0.000 0.000 0.000 1
Cr2 Cr 0.000 0.000 0.500 1
Cr3 Cr 0.000 0.500 0.000 1
Cr4 Cr 0.000 0.500 0.500 1
Cr5 Cr 0.125 0.750 0.875 1
Cr6 Cr 0.125 0.875 0.250 1
Cr7 Cr 0.250 0.125 0.875 1
Cr8 Cr 0.250 0.625 0.375 1
Cr9 Cr 0.375 0.250 0.625 1
Cr10 Cr 0.375 0.625 0.750 1
Cr11 Cr 0.500 0.000 0.000 1
Cr12 Cr 0.500 0.000 0.500 1
Cr13 Cr 0.500 0.500 0.000 1
Cr14 Cr 0.500 0.500 0.500 1
Cr15 Cr 0.625 0.375 0.250 1
Cr16 Cr 0.625 0.750 0.375 1
Cr17 Cr 0.750 0.375 0.625 1
Cr18 Cr 0.750 0.875 0.125 1
Cr19 Cr 0.875 0.125 0.750 1
Cr20 Cr 0.875 0.250 0.125 1
N1 N 0.007 0.193 0.111 1
N2 N 0.007 0.314 0.896 1
N3 N 0.082 0.693 0.686 1
N4 N 0.082 0.889 0.396 1
N5 N 0.104 0.611 0.418 1
N6 N 0.104 0.993 0.686 1
N7 N 0.111 0.007 0.193 1
N8 N 0.111 0.604 0.918 1
N9 N 0.186 0.193 0.582 1
N10 N 0.186 0.493 0.604 1
N11 N 0.193 0.111 0.007 1
N12 N 0.193 0.582 0.186 1
N13 N 0.307 0.314 0.918 1
N14 N 0.307 0.493 0.389 1
N15 N 0.314 0.896 0.007 1
N16 N 0.314 0.918 0.307 1
N17 N 0.389 0.307 0.493 1
N18 N 0.389 0.582 0.896 1
N19 N 0.396 0.082 0.889 1
N20 N 0.396 0.814 0.507 1
N21 N 0.418 0.104 0.611 1
N22 N 0.418 0.814 0.807 1
N23 N 0.493 0.389 0.307 1
N24 N 0.493 0.604 0.186 1
N25 N 0.507 0.396 0.814 1
N26 N 0.507 0.611 0.693 1
N27 N 0.582 0.186 0.193 1
N28 N 0.582 0.896 0.389 1
N29 N 0.604 0.186 0.493 1
N30 N 0.604 0.918 0.111 1
N31 N 0.611 0.418 0.104 1
N32 N 0.611 0.693 0.507 1
N33 N 0.686 0.082 0.693 1
N34 N 0.686 0.104 0.993 1
N35 N 0.693 0.507 0.611 1
N36 N 0.693 0.686 0.082 1
N37 N 0.807 0.418 0.814 1
N38 N 0.807 0.889 0.993 1
N39 N 0.814 0.507 0.396 1
N40 N 0.814 0.807 0.418 1
N41 N 0.889 0.396 0.082 1
N42 N 0.889 0.993 0.807 1
N43 N 0.896 0.007 0.314 1
N44 N 0.896 0.389 0.582 1
N45 N 0.918 0.111 0.604 1
N46 N 0.918 0.307 0.314 1
N47 N 0.993 0.686 0.104 1
N48 N 0.993 0.807 0.889 1
# Magnetic moment   12.010 μB/cell
# Total energy   -8.73 eV/atom
# ΔE_f (raw)   -59.2 kJ per mole of atoms